1.
A plane-wave DFT calculation with PBE was carried out for an optimized crystal structure of LiTbGa2Au2.

Properties
Total magnetization, Bohr magnetons per cell: 0.0
VASP energy, eV per cell: -23.1
DFT formation energy, eV per atom: -0.654

a b c (Å): 4.5036 4.5036 6.4913
angles (deg): 90.00 90.00 120.00
Closest atoms and distances in Å follow each position.
Fractional positions:
Au1 0.6667 0.3333 0.7278  4 Ga 2.60-2.83
Au2 0.3333 0.6667 0.2722  4 Ga 2.60-2.83
Li1 0.0000 0.0000 0.5000  6 Ga 2.93, 6 Au 2.99, 2 Tb 3.25
Tb1 0.0000 0.0000 0.0000  6 Au 3.14, 6 Ga 3.22, 2 Li 3.25
Ga1 0.6667 0.3333 0.2919  4 Au 2.60-2.83
Ga2 0.3333 0.6667 0.7081  4 Au 2.60-2.83

2.
A plane-wave DFT calculation with PBE was carried out for an optimized crystal structure of TaCrFe2.

Properties
Total magnetization, Bohr magnetons per cell: 3.4
VASP energy, eV per cell: -38.0
DFT formation energy, eV per atom: 0.097

a b c (Å): 4.0311 2.6233 5.0827
angles (deg): 76.95 90.00 90.00
Closest atoms and distances in Å follow each position.
Fractional positions:
Fe1 0.0000 0.9892 0.9801  3 Fe 2.43-2.62, 2 Cr 2.48, 2 Ta 2.61
Fe2 0.0000 0.5108 0.5199  3 Fe 2.43-2.62, 2 Cr 2.48, 2 Ta 2.61
Cr1 0.5000 0.7500 0.7500  4 Fe 2.48, 2 Ta 2.58, 2 Cr 2.62
Ta1 0.5000 0.2500 0.2500  2 Cr 2.58, 4 Fe 2.61, 2 Ta 2.62

- VASP energy of number 1 (LiTbGa2Au2)?
  -23.1 eV per cell

- Look up the total magnetization of the second one.
  3.4 Bohr magnetons per cell

- What is the formula in the first record?
  LiTbGa2Au2

- The lowest DFT formation energy belongs to which entry?
  LiTbGa2Au2